1.
VASP calculation (GGA-PBE) on an optimized crystal structure of TaCuOs2.

a = 3.197 Å, b = 3.197 Å, c = 5.778 Å
α = 90.00°, β = 90.00°, γ = 90.00°
Space group P4/mmm (No. 123)
Unique sites:
Ta: 0.000 0.000 0.000 [1 per cell]
Cu: 0.000 0.000 0.500 [1 per cell]
Os: 0.500 0.500 0.266 [2 per cell]

Properties
Energy above the lowest structure with this stoichiometry (meV per atom): 38

2.
VASP calculation (GGA-PBE) on an optimized crystal structure of TaTiCu2Os.

a = 4.611 Å, b = 4.611 Å, c = 4.611 Å
α = 90.00°, β = 90.00°, γ = 90.00°
Space group P4/mmm (No. 123)
Unique sites:
Ta: 0.000 0.000 0.000 [1 per cell]
Ti: 0.000 0.000 0.500 [1 per cell]
Cu: 0.000 0.500 0.000 [2 per cell]
Os: 0.500 0.500 0.500 [1 per cell]

3.
VASP calculation (GGA-PBE) on an optimized crystal structure of TaTiCuOs.

a = 6.262 Å, b = 6.262 Å, c = 6.262 Å
α = 90.00°, β = 90.00°, γ = 90.00°
Space group F-43m (No. 216)
Unique sites:
Ta: 0.000 0.000 0.000 [4 per cell]
Ti: 0.000 0.000 0.500 [4 per cell]
Cu: 0.250 0.250 0.250 [4 per cell]
Os: 0.250 0.250 0.750 [4 per cell]

4.
VASP calculation (GGA-PBE) on an optimized crystal structure of TaVCuOs.

a = 6.187 Å, b = 6.187 Å, c = 6.187 Å
α = 90.00°, β = 90.00°, γ = 90.00°
Space group F-43m (No. 216)
Unique sites:
Ta: 0.000 0.000 0.000 [4 per cell]
V: 0.000 0.000 0.500 [4 per cell]
Cu: 0.250 0.250 0.250 [4 per cell]
Os: 0.250 0.250 0.750 [4 per cell]

5.
VASP calculation (GGA-PBE) on an optimized crystal structure of Tb5Cu2Os.

a = 7.033 Å, b = 7.033 Å, c = 15.446 Å
α = 90.00°, β = 90.00°, γ = 90.00°
Space group I4/mcm (No. 140)
Unique sites:
Tb: 0.000 0.000 0.000 [4 per cell]
Tb: 0.176 0.324 0.153 [16 per cell]
Cu: 0.120 0.380 0.500 [8 per cell]
Os: 0.000 0.000 0.250 [4 per cell]

6.
VASP calculation (GGA-PBE) on an optimized crystal structure of Tb5Cu4Os.

a = 3.447 Å, b = 3.447 Å, c = 17.652 Å
α = 90.00°, β = 90.00°, γ = 90.00°
Space group P4/mmm (No. 123)
Unique sites:
Tb: 0.000 0.000 0.000 [1 per cell]
Tb: 0.000 0.000 0.201 [2 per cell]
Tb: 0.000 0.000 0.405 [2 per cell]
Cu: 0.500 0.500 0.100 [2 per cell]
Cu: 0.500 0.500 0.298 [2 per cell]
Os: 0.500 0.500 0.500 [1 per cell]

7.
VASP calculation (GGA-PBE) on an optimized crystal structure of TbCuOs.

a = 8.328 Å, b = 5.396 Å, c = 5.106 Å
α = 90.00°, β = 104.71°, γ = 90.00°
Space group C2/m (No. 12)
Unique sites:
Tb: 0.152 0.000 0.405 [4 per cell]
Cu: 0.250 0.250 0.000 [4 per cell]
Os: 0.006 0.500 0.264 [4 per cell]

Properties
Energy above the lowest structure with this stoichiometry (meV per atom): 337

8.
VASP calculation (GGA-PBE) on an optimized crystal structure of TbCu4Os.

a = 7.034 Å, b = 7.034 Å, c = 7.034 Å
α = 90.00°, β = 90.00°, γ = 90.00°
Space group F-43m (No. 216)
Unique sites:
Tb: 0.000 0.000 0.000 [4 per cell]
Cu: 0.124 0.124 0.624 [16 per cell]
Os: 0.250 0.250 0.250 [4 per cell]

9.
VASP calculation (GGA-PBE) on an optimized crystal structure of Tb4Cu2Os.

a = 4.8904 Å, b = 4.8904 Å, c = 23.8803 Å
α = 90.00°, β = 90.00°, γ = 120.00°
Space group R-3m (No. 166, hexagonal axes)
Unique sites:
Tb: 0.0000 0.0000 0.1221 [6 per cell]
Tb: 0.0000 0.0000 0.3738 [6 per cell]
Cu: 0.0000 0.0000 0.2503 [6 per cell]
Os: 0.0000 0.0000 0.0000 [3 per cell]

10.
VASP calculation (GGA-PBE) on an optimized crystal structure of Tb3Cu2Os.

a = 4.903 Å, b = 14.653 Å, c = 6.987 Å
α = 90.00°, β = 90.00°, γ = 90.00°
Space group Cmmm (No. 65)
Unique sites:
Tb: 0.000 0.000 0.241 [4 per cell]
Tb: 0.000 0.331 0.240 [8 per cell]
Cu: 0.000 0.166 0.500 [4 per cell]
Cu: 0.000 0.500 0.000 [2 per cell]
Cu: 0.000 0.500 0.500 [2 per cell]
Os: 0.000 0.165 0.000 [4 per cell]

11.
VASP calculation (GGA-PBE) on an optimized crystal structure of Tb12Cu6Os.

a = 12.2947 Å, b = 12.2947 Å, c = 12.0261 Å
α = 90.00°, β = 90.00°, γ = 120.00°
Space group R-3 (No. 148, hexagonal axes)
Unique sites:
Tb: 0.0243 0.2013 0.3911 [18 per cell]
Tb: 0.0380 0.1978 0.8763 [18 per cell]
Cu: 0.0412 0.2688 0.6439 [18 per cell]
Os: 0.0000 0.0000 0.0000 [3 per cell]

12.
VASP calculation (GGA-PBE) on an optimized crystal structure of Tb8CuOs2.

a = 8.590 Å, b = 12.548 Å, c = 5.848 Å
α = 90.00°, β = 107.01°, γ = 90.00°
Space group Cm (No. 8)
Unique sites:
Tb: 0.000 0.000 0.000 [2 per cell]
Tb: 0.076 0.367 0.795 [4 per cell]
Tb: 0.166 0.133 0.594 [4 per cell]
Tb: 0.239 0.500 0.397 [2 per cell]
Tb: 0.367 0.225 0.199 [4 per cell]
Cu: 0.368 0.000 0.341 [2 per cell]
Os: 0.372 0.311 0.696 [4 per cell]

| no. | D(E_F) (states/eV/cell) | energy of formation (eV per formula unit) |
| --- | --- | --- |
| 1 | 3.52 | 0.1 |
| 2 | 6.48 | 9.9 |
| 3 | 7.68 | -0.9 |
| 4 | 14.87 | 0.0 |
| 5 | 27.32 | -1.7 |
| 6 | 4.73 | -2.3 |
| 7 | 4.48 | 0.3 |
| 8 | 20.75 | 0.2 |
| 9 | 17.33 | -1.0 |
| 10 | 13.95 | -1.4 |
| 11 | 61.23 | 0.2 |
| 12 | 20.97 | -1.1 |